5
Lattice="3.469 0.000 0.000 0.000 3.469 0.000 0.000 0.000 3.741" Properties=species:S:1:pos:R:3 comment="VSiNO2 GGA+U optimized geometry" total_magnetization_mub_per_fu=2.056 dos_at_fermi_per_ev_fu=1.9 final_energy_ev_per_atom=-7.256 spacegroup="P4/mmm (123)" pbc="T T T"
V 0.000 0.000 0.000
Si 1.734 1.734 1.871
N 1.734 1.734 0.000
O 0.000 1.734 1.871
O 1.734 0.000 1.871